No. 1
Computed, not measured: a geometry-optimized PrYGaPd structure at the GGA-PBE level of DFT.

Cell lengths 5.140, 5.140, 5.140 Å; angles 60.00, 60.00, 60.00 degrees
Fractional coordinates of all 4 atoms:
Pd 0.000 0.000 0.000
Pr 0.250 0.250 0.250
Y 0.750 0.750 0.750
Ga 0.500 0.500 0.500

## Properties
Fermi-level density of states	3.50	states/eV/f.u.
energy above the lowest structure with this stoichiometry	51	meV/atom
ΔE_f	-0.637	eV/atom
raw total energy	-22.01	eV/cell

***

No. 2
Computed, not measured: a geometry-optimized PrZn2GaPd2 structure at the GGA-PBE level of DFT.

Cell lengths 4.680, 4.680, 5.712 Å; angles 90.00, 90.00, 90.00 degrees
Fractional coordinates of all 6 atoms:
Pd 0.500 0.000 0.000
Zn 0.500 0.500 0.742
Pd 0.000 0.500 0.000
Pr 0.000 0.000 0.500
Ga 0.000 0.000 0.000
Zn 0.500 0.500 0.258

## Properties
Fermi-level density of states	3.39	states/eV/f.u.
ΔE_f	-0.328	eV/atom
raw total energy	-22.71	eV/cell

***

No. 3
Computed, not measured: a geometry-optimized Pr3ZnGa2Pd9 structure at the GGA-PBE level of DFT.

Cell lengths 5.787, 5.787, 11.077 Å; angles 90.00, 90.00, 120.00 degrees
Fractional coordinates of all 15 atoms:
Pd 0.836 0.164 0.673
Pd 0.500 0.000 0.000
Pd 0.164 0.836 0.327
Pr 0.000 0.000 0.000
Pr 0.667 0.333 0.402
Ga 0.333 0.667 0.166
Pd 0.164 0.329 0.327
Pd 0.329 0.164 0.673
Pd 0.500 0.500 0.000
Pd 0.836 0.671 0.673
Pd 0.000 0.500 0.000
Pr 0.333 0.667 0.598
Ga 0.667 0.333 0.834
Zn 0.000 0.000 0.500
Pd 0.671 0.836 0.327

## Properties
Fermi-level density of states	5.54	states/eV/f.u.
ΔE_f	-0.567	eV/atom
raw total energy	-76.90	eV/cell